Entry from Alexandria via LeMat-Bulk: an optimized crystal structure of ScUTc (PBE).

The structure in POSCAR format:
```
ScUTc
1.0
-3.305 -0.663 -0.277
0.503 -1.203 -3.121
2.188 -3.809 3.654
Tc U Sc
1 1 1
Direct
0.690 0.690 0.381
0.307 0.307 0.615
0.002 0.002 0.004
```

Values from the calculation:
DFT formation energy	-0.0363	eV/atom
magnetic moment	0.115	μB/atom